This record from Alexandria via LeMat-Bulk describes a relaxed structure of Li8Cu2Ag. The functional is PBE-GGA.

Values from the calculation:
**V**: 15.6 Å³ per atom
**ρ**: 2.81 g/cm³
**Calculated formation energy**: -5 kJ/mol of atoms
**Space-group type**: No. 12

abc: 7.464 7.464 6.030
angles: 100.59 100.59 31.38
Atoms (fractional coordinates):
Li1 0.053 0.053 0.238
Li2 0.140 0.140 0.700
Li3 0.313 0.313 0.592
Li4 0.400 0.400 0.041
Li5 0.600 0.600 0.959
Li6 0.687 0.687 0.408
Li7 0.860 0.860 0.300
Li8 0.947 0.947 0.762
Cu1 0.230 0.230 0.119
Cu2 0.770 0.770 0.881
Ag1 0.500 0.500 0.500